## one
The following is a DFT calculation (PBE) of crystalline LiCo3Tc at its relaxed geometry.

Computed properties:
Total magnetic moment = 2.52 Bohr magnetons per cell

a = 4.4442 Å, b = 4.4442 Å, c = 4.4442 Å
α = 90.00°, β = 90.00°, γ = 90.00°
Closest atoms and distances in Å follow each position.
Space group Pm-3m (No. 221)
Asymmetric unit:
Li  0.0000  0.0000  0.0000 x1  12 Co 3.14
Co  0.0000  0.5000  0.5000 x3  2 Tc 2.22
Tc  0.5000  0.5000  0.5000 x1  6 Co 2.22

## two
The following is a DFT calculation (PBE) of crystalline LiCo3Tc at its relaxed geometry.

Computed properties:
Total magnetic moment = 4.11 Bohr magnetons per cell

a = 3.8539 Å, b = 3.8539 Å, c = 3.8539 Å
α = 90.00°, β = 90.00°, γ = 90.00°
Closest atoms and distances in Å follow each position.
Space group Pm-3m (No. 221)
Asymmetric unit:
Li  0.0000  0.0000  0.0000 x1  6 Co 1.93
Co  0.0000  0.0000  0.5000 x3  2 Li 1.93
Tc  0.5000  0.5000  0.5000 x1  12 Co 2.73

Most stable structure: two

## one
The following is a DFT calculation (PBE) of crystalline LiCoTe at its relaxed geometry.

Computed properties:
Total magnetic moment = 0.92 Bohr magnetons per cell

a = 4.2174 Å, b = 4.2174 Å, c = 3.5890 Å
α = 90.00°, β = 90.00°, γ = 120.00°
Closest atoms and distances in Å follow each position.
Space group P-6m2 (No. 187)
Asymmetric unit:
Li  0.0000  0.0000  0.0000 x1  6 Te 3.02, 6 Co 3.02
Co  0.6667  0.3333  0.5000 x1  3 Te 2.43
Te  0.3333  0.6667  0.5000 x1  3 Co 2.43

## two
The following is a DFT calculation (PBE) of crystalline LiCoTe at its relaxed geometry.

Computed properties:
Total magnetic moment = 2.02 Bohr magnetons per cell

a = 4.0817 Å, b = 4.0817 Å, c = 6.2361 Å
α = 90.00°, β = 90.00°, γ = 90.00°
Closest atoms and distances in Å follow each position.
Space group P4/nmm (No. 129, origin choice 2)
Asymmetric unit:
Li  0.2500  0.2500  0.2076 x2  4 Co 2.74, 5 Te 2.89-2.90
Co  0.2500  0.7500  0.5000 x2  4 Te 2.54, 4 Li 2.74
Te  0.2500  0.2500  0.7436 x2  4 Co 2.54

Most stable structure: two